# VCdSi2O

A relaxed VCdSi2O crystal (PBE+U, Alexandria).

Cell: 4.0662 4.0662 4.7180 Å, 90.00 90.00 90.00°
Fractional positions:
1 V 0.5000 0.5000 0.5000
2 O 0.0000 0.0000 0.0000
3 Cd 0.0000 0.0000 0.5000
4 Si 0.0000 0.5000 0.0000
5 Si 0.5000 0.0000 0.0000

Summary:
* energy: -4.292 eV/atom
* space group: P4/mmm
* N(E_F): 2.501 states/eV/cell